Entry 1:
PmNd3Ni3 | PBE | relaxed

The structure in extended XYZ format:
```
14
Lattice="4.665 -5.164 0.000 4.665 5.164 0.000 -0.038 0.000 7.001" Properties=species:S:1:pos:R:3 pbc="T T T"
Pm 2.284 0.000 2.630
Pm 7.008 0.000 4.372
Nd 1.526 0.000 6.135
Nd 4.646 2.577 3.501
Nd 4.665 1.833 0.000
Nd 4.665 -1.833 0.000
Nd 4.646 -2.577 3.501
Nd 7.766 0.000 0.866
Ni 2.409 2.663 5.565
Ni 4.092 0.000 4.773
Ni 6.883 2.663 1.436
Ni 2.409 -2.663 5.565
Ni 5.200 0.000 2.228
Ni 6.883 -2.663 1.436
```

Total magnetic moment   0.00 μB/f.u.
Formation energy from the elements   -0.1879 eV per atom

Entry 2:
PmNd2Ni6 | PBE | relaxed

The structure in extended XYZ format:
```
9
Lattice="6.961 0.000 0.000 -3.481 6.029 0.000 0.000 0.000 3.976" Properties=species:S:1:pos:R:3 pbc="T T T"
Pm 0.000 0.000 0.000
Nd 0.000 4.019 0.000
Nd 3.481 2.010 0.000
Ni -1.159 2.007 1.988
Ni -2.322 4.021 1.988
Ni 2.318 0.000 1.988
Ni 1.159 2.007 1.988
Ni 4.643 0.000 1.988
Ni 2.322 4.021 1.988
```

Total magnetic moment   0.72 μB/f.u.
Formation energy from the elements   -0.3209 eV per atom

Entry 3:
PmNdNi2 | PBE | relaxed

The structure in extended XYZ format:
```
4
Lattice="0.000 3.482 3.482 3.482 0.000 3.482 3.482 3.482 0.000" Properties=species:S:1:pos:R:3 pbc="T T T"
Pm 0.000 0.000 0.000
Nd 3.482 3.482 3.482
Ni 1.741 1.741 1.741
Ni 5.224 5.224 5.224
```

Energy relative to the lowest polymorph listed for this composition   99 meV per atom
Total magnetic moment   0.00 μB/f.u.
Formation energy from the elements   -0.2373 eV per atom

Entry 4:
PmNd2Ni | PBE | relaxed

The structure in extended XYZ format:
```
4
Lattice="1.848 1.067 10.591 -1.848 1.067 10.591 0.000 -2.134 10.591" Properties=species:S:1:pos:R:3 pbc="T T T"
Pm 0.000 0.000 0.000
Nd 0.000 0.000 3.529
Nd 0.000 0.000 28.243
Ni 0.000 0.000 15.886
```

Energy relative to the lowest polymorph listed for this composition   286 meV per atom
Total magnetic moment   0.39 μB/f.u.
Formation energy from the elements   0.1111 eV per atom

Entry 5:
PmNd3Ni8 | PBE | relaxed

The structure in extended XYZ format:
```
12
Lattice="2.583 1.491 8.450 -2.583 1.491 8.450 0.000 -2.983 8.450" Properties=species:S:1:pos:R:3 pbc="T T T"
Pm 0.000 0.000 0.000
Nd 0.000 0.000 3.165
Nd 0.000 0.000 12.677
Nd 0.000 0.000 15.847
Ni -1.292 -0.746 10.029
Ni 0.000 -1.493 5.816
Ni -1.293 0.747 5.816
Ni 0.000 0.000 7.925
Ni 1.292 -0.746 10.029
Ni 0.000 1.492 10.029
Ni 1.293 0.747 5.816
Ni 0.000 0.000 20.598
```

Total magnetic moment   0.00 μB/f.u.
Formation energy from the elements   -0.3183 eV per atom

Entry 6:
PmNd4Ni2 | PBE | relaxed

The structure in extended XYZ format:
```
7
Lattice="2.010 1.160 15.089 -2.010 1.160 15.089 0.000 -2.321 15.089" Properties=species:S:1:pos:R:3 pbc="T T T"
Pm 0.000 0.000 0.000
Nd 0.000 0.000 9.092
Nd 0.000 0.000 17.993
Nd 0.000 0.000 27.274
Nd 0.000 0.000 36.176
Ni 0.000 0.000 4.457
Ni 0.000 0.000 40.811
```

Energy relative to the lowest polymorph listed for this composition   8 meV per atom
Total magnetic moment   0.00 μB/f.u.
Formation energy from the elements   -0.0661 eV per atom

Entry 7:
Pm2NdNi | PBE | relaxed

The structure in extended XYZ format:
```
4
Lattice="1.939 1.120 9.240 -1.939 1.120 9.240 0.000 -2.240 9.240" Properties=species:S:1:pos:R:3 pbc="T T T"
Pm 0.000 0.000 0.000
Pm 0.000 0.000 5.960
Nd 0.000 0.000 12.248
Ni 0.000 0.000 16.826
```

Energy relative to the lowest polymorph listed for this composition   115 meV per atom
Total magnetic moment   0.00 μB/f.u.
Formation energy from the elements   -0.0661 eV per atom

Entry 8:
Pm3NdNi2 | PBE | relaxed

The structure in extended XYZ format:
```
12
Lattice="8.274 -1.982 0.000 8.274 1.982 0.000 -6.600 0.000 9.787" Properties=species:S:1:pos:R:3 pbc="T T T"
Pm -1.559 0.000 4.327
Pm -4.842 0.000 9.210
Pm 4.053 0.000 2.459
Pm 5.895 0.000 7.327
Pm 14.790 0.000 0.577
Pm 11.507 0.000 5.459
Nd 0.768 0.000 7.360
Nd 9.180 0.000 2.426
Ni 1.451 0.000 4.418
Ni -1.854 0.000 9.315
Ni 11.801 0.000 0.472
Ni 8.497 0.000 5.368
```

Energy relative to the lowest polymorph listed for this composition   0 meV per atom
Total magnetic moment   0.00 μB/f.u.
Formation energy from the elements   -0.2173 eV per atom

| no. | total DFT energy (no corrections) (eV per atom) | V (A^3/atom) |
| --- | --- | --- |
| 1 | -5.388 | 24.09 |
| 2 | -5.762 | 18.54 |
| 3 | -5.508 | 21.12 |
| 4 | -4.906 | 31.33 |
| 5 | -5.760 | 16.28 |
| 6 | -5.121 | 30.17 |
| 7 | -5.079 | 30.10 |
| 8 | -5.314 | 26.75 |